This record from Alexandria describes an optimized crystal structure of Rb3CeTe2O9. The functional is PBE.

Unit cell a=5.988 b=5.988 c=7.303 alpha=90.00 beta=90.00 gamma=120.00
Element x y z (fractional)
O: 0.822 0.178 0.680
O: 0.822 0.644 0.680
O: 0.178 0.822 0.320
O: 0.500 0.000 0.000
O: 0.644 0.822 0.320
O: 0.178 0.356 0.320
O: 0.500 0.500 0.000
O: 0.000 0.500 0.000
O: 0.356 0.178 0.680
Te: 0.333 0.667 0.164
Te: 0.667 0.333 0.836
Rb: 0.000 0.000 0.000
Rb: 0.333 0.667 0.671
Rb: 0.667 0.333 0.329
Ce: 0.000 0.000 0.500

Calculated values
Formation energy without anion corrections (meV/atom): -1708
Final energy (eV per atom): -5.6914
Magnetic moment (μB/atom): 0.0000

---

This record from Alexandria describes an optimized crystal structure of RbCeTe2O8. The functional is PBE.

Unit cell a=6.129 b=6.129 c=8.134 alpha=90.00 beta=90.00 gamma=120.00
Each line ends with the local moment (μB).
Element x y z (fractional)
Te: 0.333 0.667 0.759  0.04
Te: 0.667 0.333 0.241  0.04
O: 0.831 0.167 0.323  0.02
O: 0.667 0.333 0.017  0.04
O: 0.167 0.336 0.677  0.02
O: 0.333 0.667 0.983  0.04
O: 0.833 0.664 0.323  0.02
O: 0.336 0.169 0.323  0.02
O: 0.664 0.831 0.677  0.02
O: 0.169 0.833 0.677  0.02
Rb: 0.000 0.000 0.000  0.00
Ce: 0.000 0.000 0.500  0.63

Calculated values
Formation energy without anion corrections (meV/atom): -1559
Final energy (eV per atom): -5.9632
Magnetic moment (μB/atom): 0.0873

---

This record from Alexandria describes an optimized crystal structure of RbCeTeO5. The functional is PBE.

Unit cell a=6.613 b=6.613 c=8.233 alpha=104.18 beta=104.18 gamma=106.55
Each line ends with the local moment (μB).
Element x y z (fractional)
O: 0.234 0.382 0.597  0.11
O: 0.946 0.054 0.750  -0.01
O: 0.054 0.946 0.250  -0.01
O: 0.297 0.879 0.609  0.12
O: 0.618 0.766 0.903  0.11
O: 0.879 0.297 0.109  0.12
O: 0.766 0.618 0.403  0.11
O: 0.121 0.703 0.891  0.12
O: 0.382 0.234 0.097  0.11
O: 0.703 0.121 0.391  0.12
Ce: 0.000 0.000 0.000  0.21
Ce: 0.000 0.000 0.500  0.21
Rb: 0.326 0.674 0.250  0.00
Rb: 0.674 0.326 0.750  0.00
Te: 0.315 0.685 0.750  0.10
Te: 0.685 0.315 0.250  0.10

Calculated values
Formation energy without anion corrections (meV/atom): -1956
Final energy (eV per atom): -6.3099
Magnetic moment (μB/atom): 0.1136

---

This record from Alexandria describes an optimized crystal structure of Rb2CeThO6. The functional is PBE.

Unit cell a=6.374 b=6.372 c=6.373 alpha=60.02 beta=60.02 gamma=90.00
Each line ends with the local moment (μB).
Element x y z (fractional)
O: 0.248 0.248 0.505  0.26
O: 0.248 0.248 0.000  0.25
O: 0.248 0.752 0.000  0.25
O: 0.752 0.752 0.495  0.26
O: 0.752 0.752 0.000  0.25
O: 0.752 0.248 0.000  0.25
Th: 0.500 0.500 0.000  0.11
Ce: 0.000 0.000 0.000  0.12
Rb: 0.250 0.750 0.500  0.00
Rb: 0.750 0.250 0.500  0.00

Calculated values
Formation energy without anion corrections (meV/atom): -2453
Final energy (eV per atom): -6.9564
Magnetic moment (μB/atom): 0.1991

---

This record from Alexandria describes an optimized crystal structure of Rb4Ce3TiO8. The functional is PBE.

Unit cell a=7.096 b=7.723 c=7.093 alpha=117.33 beta=120.01 gamma=90.00
Each line ends with the local moment (μB).
Element x y z (fractional)
O: 0.216 0.673 0.432  -0.02
O: 0.728 0.683 0.455  -0.02
O: 0.784 0.327 0.043  -0.02
O: 0.216 0.673 0.957  -0.02
O: 0.740 0.673 0.957  -0.02
O: 0.784 0.327 0.568  -0.02
O: 0.272 0.317 0.545  -0.02
O: 0.260 0.327 0.043  -0.02
Ce: 0.000 0.500 0.500  0.78
Ce: 0.500 0.500 0.000  0.78
Ce: 0.500 0.500 0.500  0.78
Rb: 0.500 0.000 0.000  0.02
Rb: 0.000 0.000 0.000  0.01
Rb: 0.500 0.000 0.500  0.01
Rb: 0.000 0.000 0.500  0.01
Ti: 0.000 0.500 0.000  1.13

Calculated values
Formation energy without anion corrections (meV/atom): -2409
Final energy (eV per atom): -6.7360
Magnetic moment (μB/atom): 0.2511

---

This record from Alexandria describes an optimized crystal structure of RbCeTiO4. The functional is PBE.

Unit cell a=6.138 b=6.158 c=7.765 alpha=90.00 beta=107.21 gamma=90.00
Each line ends with the local moment (μB).
Element x y z (fractional)
Rb: 0.688 0.750 0.926  0.00
Rb: 0.312 0.250 0.074  0.00
O: 0.060 0.522 0.329  -0.01
O: 0.470 0.750 0.560  0.00
O: 0.940 0.478 0.671  -0.01
O: 0.940 0.022 0.671  -0.01
O: 0.530 0.250 0.440  0.00
O: 0.462 0.750 0.204  -0.01
O: 0.538 0.250 0.796  -0.01
O: 0.060 0.978 0.329  -0.01
Ce: 0.801 0.750 0.455  0.90
Ce: 0.199 0.250 0.545  0.90
Ti: 0.736 0.250 0.659  0.05
Ti: 0.264 0.750 0.341  0.05

Calculated values
Formation energy without anion corrections (meV/atom): -2842
Final energy (eV per atom): -7.7886
Magnetic moment (μB/atom): 0.1432